First-principles (SCAN) data for a PBEsol-optimized structure of Li2Cd2In, as listed in the Alexandria database.

a b c (Å): 3.831 3.831 7.660
angles (deg): 104.48 104.48 90.00
Element x y z (fractional)
1 Cd 0.394 0.394 0.788
2 Cd 0.606 0.606 0.212
3 Li 0.250 0.750 0.500
4 Li 0.750 0.250 0.500
5 In 0.000 0.000 0.000

Results
- VASP energy: -0.730 hartree per atom
- Size of the total moment: 0.00 μB/f.u.
- Distance to the lowest polymorph of the same formula: 173 meV/atom
- Formation energy: -1.4 kcal/mol of atoms
- SG: I4/mmm

First-principles (SCAN) data for a PBEsol-optimized structure of Lu2CdIn, as listed in the Alexandria database.

a b c (Å): 5.109 5.109 5.109
angles (deg): 60.00 60.00 60.00
Element x y z (fractional)
1 Cd 0.500 0.500 0.500
2 Lu 0.250 0.250 0.250
3 Lu 0.750 0.750 0.750
4 In 0.000 0.000 0.000

Results
- VASP energy: -1.621 hartree per atom
- Size of the total moment: 0.00 μB/f.u.
- Formation energy: -11.3 kcal/mol of atoms
- SG: Fm-3m